First-principles (PBE+U) data for a relaxed BiMoO4F crystal, as listed in Alexandria via LeMat-Bulk.

Computed properties:
crystal system	monoclinic
total moment	0.000	Bohr magnetons per cell
V	256.43	Å³/cell
E	-6.3722	eV/atom

Structure (POSCAR):
```
BiMoO4F
1.0
4.9174 -3.7711 0.0000
4.9174 3.7711 0.0000
-2.2381 0.0000 6.9143
Bi Mo O F
2 2 8 2
direct
0.2008 0.2008 0.1340
0.7992 0.7992 0.8660
0.3481 0.3481 0.7125
0.6519 0.6519 0.2875
0.1159 0.4958 0.8368
0.2459 0.2459 0.4603
0.4673 0.4673 0.2604
0.4958 0.1159 0.8368
0.5042 0.8841 0.1632
0.5327 0.5327 0.7396
0.7541 0.7541 0.5397
0.8841 0.5042 0.1632
0.0158 0.0158 0.8299
0.9842 0.9842 0.1701
```